{
  "formula": "YNpUO6",
  "functional": "PBE",
  "state": "optimized geometry",
  "mass_density_g_cm3": 8.05,
  "space_group": "P-31c",
  "e_form_raw_kj_per_mol_atoms": -304.64,
  "n_ef_per_ev_atom": 1.70,
  "cell": [[-2.7205, -3.7568, -3.4565], [4.8737, -1.5583, 2.6983], [-5.0336, -3.0820, 7.3116]],
  "species": ["Y", "Y", "Np", "Np", "U", "U", "O", "O", "O", "O", "O", "O", "O", "O", "O", "O", "O", "O"],
  "fractional_positions": [[0.3333, 0.6667, 0.2500], [0.6667, 0.3333, 0.7500], [0.0000, 0.0000, 0.0000], [0.0000, 0.0000, 0.5000], [0.6667, 0.3333, 0.2500], [0.3333, 0.6667, 0.7500], [0.6740, 0.6560, 0.1313], [0.9820, 0.3260, 0.1313], [0.3260, 0.9820, 0.6313], [0.0180, 0.6740, 0.8687], [0.3439, 0.3260, 0.3687], [0.9820, 0.6560, 0.3687], [0.6561, 0.9820, 0.8687], [0.6740, 0.0180, 0.3687], [0.0180, 0.3440, 0.6313], [0.3439, 0.0180, 0.1313], [0.6561, 0.6740, 0.6313], [0.3260, 0.3440, 0.8687]]
}

***

{
  "formula": "Tb2Al3Zn9",
  "functional": "PBE",
  "state": "optimized geometry",
  "mass_density_g_cm3": 6.78,
  "ef_ev_per_atom": -0.254,
  "space_group": "Cmcm",
  "n_ef_per_ev_atom": 0.30,
  "cell": [[-5.9879, 1.3305, 4.6844], [-1.2957, -2.8376, -7.0596], [0.6975, -8.6475, 3.3478]],
  "species": ["Tb", "Tb", "Tb", "Tb", "Al", "Al", "Al", "Al", "Al", "Al", "Zn", "Zn", "Zn", "Zn", "Zn", "Zn", "Zn", "Zn", "Zn", "Zn", "Zn", "Zn", "Zn", "Zn", "Zn", "Zn", "Zn", "Zn"],
  "fractional_positions": [[0.6746, 0.0012, 0.2500], [0.3254, 0.9988, 0.7500], [0.0012, 0.6746, 0.2500], [0.9988, 0.3254, 0.7500], [0.0000, 0.0000, 0.0000], [0.0000, 0.0000, 0.5000], [0.3156, 0.6844, 0.0000], [0.6844, 0.3156, 0.5000], [0.6844, 0.3156, 0.0000], [0.3156, 0.6844, 0.5000], [0.1406, 0.1406, 0.2500], [0.8594, 0.8594, 0.7500], [0.3386, 0.3386, 0.5650], [0.6614, 0.6614, 0.0650], [0.3386, 0.3386, 0.9350], [0.6614, 0.6614, 0.4350], [0.5442, 0.3497, 0.2500], [0.4558, 0.6503, 0.7500], [0.3497, 0.5442, 0.2500], [0.6503, 0.4558, 0.7500], [0.3398, 0.0228, 0.0883], [0.6602, 0.9772, 0.5883], [0.0228, 0.3398, 0.4117], [0.9772, 0.6602, 0.9117], [0.6602, 0.9772, 0.9117], [0.3398, 0.0228, 0.4117], [0.9772, 0.6602, 0.5883], [0.0228, 0.3398, 0.0883]]
}